Entry 1:
A plane-wave DFT calculation with PBE was carried out for a relaxed BeO crystal.

Cell: 5.160 5.160 5.160 Å, 90.00 90.00 90.00°
Space group I-43m (No. 217)
Symmetry-distinct sites (fractional):
Be 0.156 0.156 0.156 (multiplicity 8)
O 0.170 0.170 0.830 (multiplicity 8)

Values from the calculation:
Theoretical density   2.419 Mg/m³
Relative energy among the computed polymorphs   0.108 eV per atom

Entry 2:
A plane-wave DFT calculation with PBE was carried out for a relaxed TbErTlGe crystal.

Cell: 7.369 7.369 7.369 Å, 90.00 90.00 90.00°
Space group F-43m (No. 216)
Symmetry-distinct sites (fractional):
Tb 0.000 0.000 0.000 (multiplicity 4)
Er 0.000 0.000 0.500 (multiplicity 4)
Tl 0.250 0.250 0.250 (multiplicity 4)
Ge 0.250 0.250 0.750 (multiplicity 4)

Values from the calculation:
Theoretical density   10.011 Mg/m³
VASP energy   -4.462 eV/atom

Entry 3:
A plane-wave DFT calculation with PBE was carried out for a relaxed CsPuAg2Cl8 crystal.

Cell: 7.3232 7.3232 9.5357 Å, 90.00 90.00 120.00°
Space group P-3m1 (No. 164)
Symmetry-distinct sites (fractional):
Cs 0.0000 0.0000 0.0000 (multiplicity 1)
Pu 0.0000 0.0000 0.5000 (multiplicity 1)
Ag 0.3333 0.6667 0.1895 (multiplicity 2)
Cl 0.1609 0.3218 0.3388 (multiplicity 6)
Cl 0.3333 0.6667 0.9409 (multiplicity 2)

Values from the calculation:
Theoretical density   3.285 Mg/m³
VASP energy   -4.112 eV/atom

Entry 4:
A plane-wave DFT calculation with PBE was carried out for a relaxed CuPd2Pb2 crystal.

Cell: 7.594 7.594 3.607 Å, 90.00 90.00 90.00°
Space group P4/mbm (No. 127)
Symmetry-distinct sites (fractional):
Cu 0.000 0.000 0.000 (multiplicity 2)
Pd 0.135 0.365 0.500 (multiplicity 4)
Pb 0.163 0.663 0.000 (multiplicity 4)

Values from the calculation:
Theoretical density   11.030 Mg/m³
Relative energy among the computed polymorphs   0.134 eV per atom